This record from Alexandria via LeMat-Bulk describes crystalline AcTb4Pm at its relaxed geometry. The functional is PBE.

Unit cell a=6.496 b=8.893 c=8.897 alpha=60.52 beta=69.15 gamma=76.99
Positions (direct):
Ac  0.061  0.255  0.325
Ac  0.939  0.745  0.675
Tb  0.263  0.308  0.884
Tb  0.290  0.505  0.426
Tb  0.331  0.679  0.916
Tb  0.481  0.897  0.383
Tb  0.519  0.103  0.617
Tb  0.669  0.321  0.084
Tb  0.710  0.495  0.574
Tb  0.737  0.692  0.116
Pm  0.074  0.903  0.188
Pm  0.926  0.097  0.812

Results
Total moment ... 0.000 μB/atom
SG ... P-1 (2)
Distance to the lowest polymorph of the same formula ... 0.0 meV/atom

---

This record from Alexandria via LeMat-Bulk describes crystalline Ac3Tb3Pm5 at its relaxed geometry. The functional is PBE.

Unit cell a=9.642 b=9.642 c=6.096 alpha=90.00 beta=90.00 gamma=120.00
Positions (direct):
Ac  0.000  0.404  0.000
Ac  0.404  0.000  0.000
Ac  0.596  0.596  0.000
Tb  0.000  0.245  0.500
Tb  0.245  0.000  0.500
Tb  0.755  0.755  0.500
Pm  0.000  0.618  0.500
Pm  0.333  0.667  0.500
Pm  0.382  0.382  0.500
Pm  0.618  0.000  0.500
Pm  0.667  0.333  0.500

Results
Electronic total energy ... -42.434 eV per cell
Total moment ... 0.000 μB/atom
SG ... P-62m (189)